LiReTc2 at its PBEsol-relaxed geometry. Source: the Alexandria database, functional meta-GGA SCAN.

```
LiReTc2
1.0
2.582 0.000 -0.010
0.000 4.233 0.000
-0.789 0.000 4.987
Tc Re Li
2 1 1
Cartesian
1.402 0.000 3.793 Tc
0.391 0.000 1.185 Tc
-0.394 2.117 2.494 Re
1.291 2.117 -0.005 Li
```

## Properties
Density of states at the Fermi level, states/eV/cell: 2.56
Raw total energy, eV for the cell shown: -143.2
ρ, Mg/m³: 11.9
Polymorph energy (0 for the lowest one), meV per atom: 0
Magnetization, μB per cell: 0.000
Formation enthalpy at 0 K, kJ/mol of atoms: 10
Space-group type: No. 10

---

AlAg3F at its PBEsol-relaxed geometry. Source: the Alexandria database, functional meta-GGA SCAN.

```
AlAg3F
1.0
4.780 0.000 0.000
0.000 4.780 0.000
0.000 0.000 4.780
F Ag Al
1 3 1
Cartesian
2.390 2.390 2.390 F
2.390 0.000 0.000 Ag
0.000 0.000 2.390 Ag
0.000 2.390 0.000 Ag
0.000 0.000 0.000 Al
```

## Properties
Density of states at the Fermi level, states/eV/cell: 4.62
Raw total energy, eV for the cell shown: -103.6
ρ, Mg/m³: 5.6
Formation energy from raw total energies, kcal/mol of atoms: 8.4
Magnetization, μB per cell: 0.000
Space-group type: No. 221

---

Be2RhBr at its PBEsol-relaxed geometry. Source: the Alexandria database, functional meta-GGA SCAN.

```
Be2RhBr
1.0
-0.485 -0.846 2.919
-2.762 -1.343 -0.848
2.916 -5.327 -1.063
Br Be Rh
1 2 1
Cartesian
0.979 -3.089 1.701 Br
-1.112 -2.462 1.535 Be
2.182 -5.285 1.261 Be
1.265 -5.939 -0.704 Rh
```

## Properties
Density of states at the Fermi level, states/eV/cell: 0.17
Raw total energy, eV for the cell shown: -63.0
ρ, Mg/m³: 5.5
Formation energy from raw total energies, kcal/mol of atoms: -5.9
Polymorph energy (0 for the lowest one), meV per atom: 0
Magnetization, μB per cell: 0.000
Space-group type: No. 25

---

CaCu2As2 at its PBEsol-relaxed geometry. Source: the Alexandria database, functional meta-GGA SCAN.

```
CaCu2As2
1.0
-1.109 -2.376 -3.049
2.871 -2.630 1.005
-4.345 -0.039 4.264
Cu Ca As
2 1 2
Cartesian
-2.287 -2.459 0.096 Cu
-0.297 -2.586 2.123 Cu
0.000 0.000 0.000 Ca
0.029 -3.128 -0.225 As
-2.612 -1.917 2.445 As
```

## Properties
Density of states at the Fermi level, states/eV/cell: 1.77
Raw total energy, eV for the cell shown: -83.2
ρ, Mg/m³: 6.0
Magnetization, μB per cell: 0.000
Formation enthalpy at 0 K, kJ/mol of atoms: -53
Space-group type: No. 139

---

KSr at its PBEsol-relaxed geometry. Source: the Alexandria database, functional meta-GGA SCAN.

```
KSr
1.0
-2.943 2.649 1.675
1.306 -3.442 2.221
10.729 8.037 6.146
Sr K
2 2
Cartesian
2.614 3.720 4.229 Sr
6.478 3.524 5.813 Sr
7.767 7.581 7.181 K
1.324 -0.337 2.861 K
```

## Properties
Density of states at the Fermi level, states/eV/cell: 3.65
Raw total energy, eV for the cell shown: -61.0
ρ, Mg/m³: 1.8
Magnetization, μB per cell: 0.138
Formation enthalpy at 0 K, kJ/mol of atoms: 5
Space-group type: No. 164

---

Cr2SiW at its PBEsol-relaxed geometry. Source: the Alexandria database, functional meta-GGA SCAN.

```
Cr2SiW
1.0
-1.224 2.516 -0.604
0.164 -0.591 -2.796
-5.464 -2.603 0.229
Cr W Si
2 1 1
Cartesian
-1.851 0.333 -1.644 Cr
-0.220 -0.105 0.009 Cr
-4.612 -0.982 -1.529 W
-2.573 -1.225 0.108 Si
```

## Properties
Density of states at the Fermi level, states/eV/cell: 3.50
Raw total energy, eV for the cell shown: -116.3
ρ, Mg/m³: 10.6
Formation energy from raw total energies, kcal/mol of atoms: 1.2
Magnetization, μB per cell: 0.001
Space-group type: No. 99

---

Li3Al at its PBEsol-relaxed geometry. Source: the Alexandria database, functional meta-GGA SCAN.

```
Li3Al
1.0
-2.889 0.191 -0.134
1.386 -2.064 -1.490
-0.740 -5.916 7.508
Li Al
3 1
Cartesian
-0.604 -5.831 4.697 Li
-0.370 -2.958 3.754 Li
-0.214 -2.710 0.736 Li
0.000 0.000 0.000 Al
```

## Properties
Density of states at the Fermi level, states/eV/cell: 1.57
Raw total energy, eV for the cell shown: -15.0
ρ, Mg/m³: 1.1
Magnetization, μB per cell: 0.086
Formation enthalpy at 0 K, kJ/mol of atoms: -3
Space-group type: No. 187

---

KInPb2 at its PBEsol-relaxed geometry. Source: the Alexandria database, functional meta-GGA SCAN.

```
KInPb2
1.0
-2.110 -2.964 1.643
3.388 -1.819 1.070
-0.090 3.835 6.800
K In Pb
1 1 2
Cartesian
0.594 -0.474 4.757 K
0.639 -2.391 1.357 In
-0.072 3.071 5.447 Pb
-0.018 0.763 1.354 Pb
```

## Properties
Density of states at the Fermi level, states/eV/cell: 1.69
Raw total energy, eV for the cell shown: -194.0
ρ, Mg/m³: 7.6
Magnetization, μB per cell: 0.000
Formation enthalpy at 0 K, kJ/mol of atoms: -17
Space-group type: No. 123